The following is a GGA-PBE calculation of crystalline Zr4Ga at its relaxed geometry, from Alexandria via LeMat-Bulk.

The structure belongs to space group Pm-3m (No. 221); the cell edges are 5.0469, 5.0469 and 5.0469 Å and the angles 90.00°, 90.00° and 90.00°. The asymmetric unit holds Zr at (0.0000, 0.0000, 0.0000), Zr at (0.0000, 0.5000, 0.5000) and Ga at (0.5000, 0.5000, 0.5000).

The offset from the most stable computed form comes out at 648 meV/atom. The calculation puts the uncorrected energy at -6.95 eV/atom. As for the formation energy: 0.497 eV/atom. The value obtained for the spin magnetization is 0.521 μB per atom. For the density of states at the Fermi level, the calculation gives 9.05 states/eV per cell.